# 1
The following is a DFT calculation (GGA-PBE) of a relaxed SmLuRh crystal.

## Properties
Symmetry: P3m1
Relative energy among the computed polymorphs, meV/atom: 92
Formation enthalpy at 0 K, meV per atom: -477.8

Unit cell a=5.675 b=4.126 c=4.126 alpha=120.00 beta=90.00 gamma=90.00
Positions (direct):
Lu (0.236, 0.333, 0.667)
Sm (0.750, 0.667, 0.333)
Rh (0.013, 0.000, 0.000)

# 2
The following is a DFT calculation (GGA-PBE) of a relaxed SmLuRh crystal.

## Properties
Symmetry: F-43m
Relative energy among the computed polymorphs, meV/atom: 0
Formation enthalpy at 0 K, meV per atom: -570.0

Unit cell a=4.812 b=4.812 c=4.812 alpha=60.00 beta=60.00 gamma=60.00
Positions (direct):
Rh (0.250, 0.250, 0.250)
Lu (0.000, 0.000, 0.000)
Sm (0.500, 0.500, 0.500)

# 3
The following is a DFT calculation (GGA-PBE) of a relaxed SmLuRh4 crystal.

## Properties
Symmetry: F-43m
Formation enthalpy at 0 K, meV per atom: -721.9

Unit cell a=5.338 b=5.338 c=5.338 alpha=60.00 beta=60.00 gamma=60.00
Positions (direct):
Lu (0.000, 0.000, 0.000)
Rh (0.124, 0.625, 0.625)
Rh (0.625, 0.124, 0.625)
Rh (0.625, 0.625, 0.124)
Rh (0.625, 0.625, 0.625)
Sm (0.250, 0.250, 0.250)

# 4
The following is a DFT calculation (GGA-PBE) of a relaxed SmLu2Rh crystal.

## Properties
Symmetry: P4/mmm
Relative energy among the computed polymorphs, meV/atom: 0
Formation enthalpy at 0 K, meV per atom: -485.6

Unit cell a=3.428 b=3.428 c=8.588 alpha=90.00 beta=90.00 gamma=90.00
Positions (direct):
Lu (0.000, 0.000, 0.187)
Lu (0.000, 0.000, 0.813)
Sm (0.500, 0.500, 0.500)
Rh (0.500, 0.500, 0.000)